(1)
A plane-wave DFT calculation with GGA-PBEsol was carried out for SrZn2In after structural relaxation.

As for the energy relative to the elements: -0.240 eV per atom. Its theoretical density is 5.7 g/cm3. Its crystal system is trigonal. The calculation puts the energy at -2.24 eV/atom.

Unit cell a=4.3700 b=4.3700 c=17.6502 alpha=90.00 beta=90.00 gamma=120.00
Space group R3m (No. 160, hexagonal axes)
Inequivalent atoms, fractional coordinates:
Sr1 0.0000 0.0000 0.0000 x3
Zn1 0.0000 0.0000 0.4612 x3
Zn2 0.0000 0.0000 0.7950 x3
In1 0.0000 0.0000 0.2048 x3


(2)
A plane-wave DFT calculation with GGA-PBEsol was carried out for ReNiOs2 after structural relaxation.

As for the energy relative to the elements: 0.115 eV per atom. Its theoretical density is 19.4 g/cm3. Its crystal system is monoclinic. The calculation puts the energy at -10.87 eV/atom. The energy above the most stable polymorph in this dataset is 5 meV/atom.

Unit cell a=8.773 b=2.682 c=4.627 alpha=90.00 beta=99.67 gamma=90.00
Space group C2/m (No. 12)
Inequivalent atoms, fractional coordinates:
Re1 0.000 0.000 0.000 x2
Ni1 0.000 0.500 0.500 x2
Os1 0.248 0.500 0.257 x4


(3)
A plane-wave DFT calculation with GGA-PBEsol was carried out for BaCuSnMo2 after structural relaxation.

As for the energy relative to the elements: 1.419 eV per atom. Its theoretical density is 7.1 g/cm3. Its crystal system is tetragonal. The calculation puts the energy at -5.44 eV/atom.

Unit cell a=4.696 b=4.696 c=5.417 alpha=90.00 beta=90.00 gamma=90.00
Space group P4/mmm (No. 123)
Inequivalent atoms, fractional coordinates:
Ba1 0.000 0.000 0.000 x1
Cu1 0.000 0.000 0.500 x1
Sn1 0.500 0.500 0.000 x1
Mo1 0.000 0.500 0.500 x2


(4)
A plane-wave DFT calculation with GGA-PBEsol was carried out for CsCaH3 after structural relaxation.

Its theoretical density is 3.2 g/cm3. Its crystal system is cubic. The calculation puts the energy at -3.00 eV/atom.

Unit cell a=4.516 b=4.516 c=4.516 alpha=90.00 beta=90.00 gamma=90.00
Space group Pm-3m (No. 221)
Inequivalent atoms, fractional coordinates:
Cs1 0.000 0.000 0.000 x1
Ca1 0.500 0.500 0.500 x1
H1 0.000 0.500 0.500 x3


(5)
A plane-wave DFT calculation with GGA-PBEsol was carried out for AlHgPd2 after structural relaxation.

As for the energy relative to the elements: -0.125 eV per atom. Its theoretical density is 10.5 g/cm3. Its crystal system is tetragonal. The calculation puts the energy at -4.27 eV/atom.

Unit cell a=3.941 b=3.941 c=17.933 alpha=90.00 beta=90.00 gamma=90.00
Space group I-42d (No. 122)
Inequivalent atoms, fractional coordinates:
Al1 0.000 0.000 0.000 x4
Hg1 0.000 0.000 0.500 x4
Pd1 0.234 0.250 0.125 x8


(6)
A plane-wave DFT calculation with GGA-PBEsol was carried out for LaAs2Pb after structural relaxation.

As for the energy relative to the elements: -0.684 eV per atom. Its theoretical density is 8.6 g/cm3. Its crystal system is orthorhombic. The calculation puts the energy at -5.57 eV/atom. The energy above the most stable polymorph in this dataset is 0 meV/atom.

Unit cell a=6.899 b=7.002 c=3.955 alpha=90.00 beta=90.00 gamma=90.00
Space group Cmmm (No. 65)
Inequivalent atoms, fractional coordinates:
La1 0.000 0.000 0.000 x2
As1 0.250 0.250 0.500 x4
Pb1 0.000 0.500 0.000 x2


(7)
A plane-wave DFT calculation with GGA-PBEsol was carried out for Gd2AlCo2 after structural relaxation.

As for the energy relative to the elements: -0.360 eV per atom. Its theoretical density is 8.5 g/cm3. Its crystal system is orthorhombic. The calculation puts the energy at -10.05 eV/atom.

Unit cell a=4.001 b=5.392 c=8.298 alpha=90.00 beta=90.00 gamma=90.00
Space group Immm (No. 71)
Inequivalent atoms, fractional coordinates:
Gd1 0.000 0.000 0.204 x4
Al1 0.000 0.500 0.000 x2
Co1 0.000 0.276 0.500 x4


(8)
A plane-wave DFT calculation with GGA-PBEsol was carried out for CuAg2Cl after structural relaxation.

Its theoretical density is 6.3 g/cm3. The uncorrected formation energy comes out at 0.25 eV per formula unit. Its crystal system is monoclinic. The calculation puts the energy at -3.18 eV/atom. The energy above the most stable polymorph in this dataset is 0 meV/atom.

Unit cell a=8.782 b=3.048 c=6.305 alpha=90.00 beta=97.89 gamma=90.00
Space group Cm (No. 8)
Inequivalent atoms, fractional coordinates:
Cu1 0.000 0.000 0.000 x2
Ag1 0.021 0.500 0.659 x2
Ag2 0.265 0.000 0.850 x2
Cl1 0.053 0.500 0.274 x2


(9)
A plane-wave DFT calculation with GGA-PBEsol was carried out for ErMgCd2 after structural relaxation.

As for the energy relative to the elements: -0.330 eV per atom. Its theoretical density is 7.9 g/cm3. Its crystal system is cubic. The calculation puts the energy at -2.59 eV/atom.

Unit cell a=7.049 b=7.049 c=7.049 alpha=90.00 beta=90.00 gamma=90.00
Space group Fm-3m (No. 225)
Inequivalent atoms, fractional coordinates:
Er1 0.000 0.000 0.000 x4
Mg1 0.000 0.000 0.500 x4
Cd1 0.250 0.250 0.250 x8


(10)
A plane-wave DFT calculation with GGA-PBEsol was carried out for CaCdMo2 after structural relaxation.

As for the energy relative to the elements: 0.720 eV per atom. Its theoretical density is 7.6 g/cm3. Its crystal system is tetragonal. The calculation puts the energy at -6.00 eV/atom.

Unit cell a=3.938 b=3.938 c=9.648 alpha=90.00 beta=90.00 gamma=90.00
Space group I4/mmm (No. 139)
Inequivalent atoms, fractional coordinates:
Ca1 0.000 0.000 0.000 x2
Cd1 0.000 0.000 0.500 x2
Mo1 0.000 0.500 0.250 x4


(11)
A plane-wave DFT calculation with GGA-PBEsol was carried out for Co3OF5 after structural relaxation.

Its theoretical density is 5.0 g/cm3. The uncorrected formation energy comes out at -13.52 eV per formula unit. Its crystal system is monoclinic. The calculation puts the energy at -5.74 eV/atom. The energy above the most stable polymorph in this dataset is 27 meV/atom.

Unit cell a=5.480 b=4.615 c=7.551 alpha=90.00 beta=95.12 gamma=90.00
Space group P2_1 (No. 4)
Inequivalent atoms, fractional coordinates:
Co1 0.055 0.000 0.320 x2
Co2 0.249 0.500 0.972 x2
Co3 0.417 0.965 0.666 x2
O1 0.235 0.702 0.755 x2
F1 0.050 0.774 0.097 x2
F2 0.124 0.182 0.562 x2
F3 0.280 0.286 0.219 x2
F4 0.381 0.771 0.423 x2
F5 0.453 0.182 0.898 x2


(12)
A plane-wave DFT calculation with GGA-PBEsol was carried out for ZrFe2SnRu after structural relaxation.

As for the energy relative to the elements: 0.926 eV per atom. Its theoretical density is 7.2 g/cm3. Its crystal system is tetragonal. The calculation puts the energy at -7.36 eV/atom.

Unit cell a=4.493 b=4.493 c=4.860 alpha=90.00 beta=90.00 gamma=90.00
Space group P4/mmm (No. 123)
Inequivalent atoms, fractional coordinates:
Zr1 0.000 0.000 0.000 x1
Fe1 0.000 0.500 0.500 x2
Sn1 0.500 0.500 0.000 x1
Ru1 0.500 0.500 0.500 x1